Material: AcIn3Pt
Method: DFT, PBE
State: optimized geometry

Calculated values
E = -21.16 eV per formula unit
formation energy = -2.80 eV/f.u.
energy relative to the lowest polymorph listed for this composition = 24 meV/atom

Cell and atoms, written as CIF:
```
data_AcIn3Pt
_symmetry_space_group_name_H-M 'P 4 m m'
_symmetry_Int_Tables_number 99
_cell_length_a 4.531
_cell_length_b 4.531
_cell_length_c 6.403
_cell_angle_alpha 90.00
_cell_angle_beta 90.00
_cell_angle_gamma 90.00
loop_
_symmetry_equiv_pos_as_xyz
'x,y,z'
'-y,x,z'
'-x,-y,z'
'y,-x,z'
'-x,y,z'
'y,x,z'
'x,-y,z'
'-y,-x,z'
loop_
_atom_site_label
_atom_site_type_symbol
_atom_site_fract_x
_atom_site_fract_y
_atom_site_fract_z
Ac1 Ac 0.000 0.000 0.000
In1 In 0.000 0.500 0.450
In2 In 0.500 0.500 0.764
Pt1 Pt 0.500 0.500 0.179
```